8
Lattice="4.127 0.000 0.000 0.000 5.981 0.000 0.000 0.000 5.318" Properties=species:S:1:pos:R:3 comment="As2OsO | OQMD | PBE | optimized geometry" spacegroup="No. 26" energy_ev_per_cell=-50.25 pbc="T T T"
As 2.063 4.558 2.262
As 2.063 1.311 2.373
As 2.063 1.423 4.920
As 2.063 4.670 5.032
O 0.000 1.451 1.866
O 0.000 4.530 4.524
Os 0.000 2.662 0.168
Os 0.000 3.319 2.827



10
Lattice="-4.227 1.319 4.601 0.378 -4.253 5.365 2.878 3.083 5.429" Properties=species:S:1:pos:R:3 comment="Sr2MgOsSe6 | OQMD | PBE | optimized geometry" spacegroup="No. 2" energy_ev_per_cell=-45.63 pbc="T T T"
Mg -2.113 0.660 2.300
Os 1.628 -0.585 5.397
Se -0.388 -0.673 3.837
Se 0.506 -2.344 6.730
Se -1.483 -1.214 8.820
Se 0.512 1.364 6.574
Se -1.477 2.494 8.664
Se -0.583 0.822 11.558
Sr -2.404 0.604 6.141
Sr 1.433 -0.454 9.253



24
Lattice="11.000 0.000 0.000 0.000 4.211 0.000 0.000 0.000 13.595" Properties=species:S:1:pos:R:3 comment="SrLiSmSe3 | OQMD | PBE | optimized geometry" spacegroup="No. 62" energy_ev_per_cell=-118.12 pbc="T T T"
Li 2.966 3.158 3.105
Li 8.465 3.158 3.692
Li 2.534 1.053 9.902
Li 8.034 1.053 10.490
Se 1.095 3.158 1.436
Se 5.002 3.158 1.626
Se 8.404 1.053 2.292
Se 2.904 1.053 4.505
Se 10.501 3.158 5.171
Se 6.595 3.158 5.361
Se 4.405 1.053 8.233
Se 0.498 1.053 8.423
Se 8.096 3.158 9.090
Se 2.596 3.158 11.302
Se 5.998 1.053 11.969
Se 9.905 1.053 12.159
Sm 0.224 1.053 3.216
Sm 5.724 1.053 3.581
Sm 5.276 3.158 10.013
Sm 10.776 3.158 10.379
Sr 3.137 1.053 0.004
Sr 8.637 1.053 6.793
Sr 2.363 3.158 6.802
Sr 7.863 3.158 13.590



4
Lattice="0.000 3.165 3.165 3.165 0.000 3.165 3.165 3.165 0.000" Properties=species:S:1:pos:R:3 comment="TaNbCuTc | OQMD | PBE | optimized geometry" spacegroup="No. 216" formation_energy_mev_per_atom=-26 pbc="T T T"
Cu 4.748 4.748 4.748
Nb 3.165 3.165 3.165
Ta 0.000 0.000 0.000
Tc 1.583 1.583 1.583



3
Lattice="-0.238 -4.373 -1.851 -4.229 -1.940 -0.981 -1.351 -0.598 -4.520" Properties=species:S:1:pos:R:3 comment="TbNpRe | OQMD | PBE | optimized geometry" spacegroup="No. 216" formation_energy_mev_per_atom=519 pbc="T T T"
Np -4.363 -5.183 -5.514
Re 0.000 0.000 0.000
Tb -1.454 -1.728 -1.838



10
Lattice="3.827 0.000 0.000 -1.913 3.314 0.000 0.000 0.000 20.986" Properties=species:S:1:pos:R:3 comment="RbZr3Se6 | OQMD | PBE | optimized geometry" spacegroup="No. 164" energy_ev_per_cell=-60.68 pbc="T T T"
Rb 0.000 0.000 10.493
Se 0.000 2.209 1.582
Se 1.913 1.105 4.716
Se 0.000 2.209 7.949
Se 1.913 1.105 13.037
Se 0.000 2.209 16.270
Se 1.913 1.105 19.403
Zr 0.000 0.000 0.000
Zr 0.000 0.000 6.271
Zr 0.000 0.000 14.715



4
Lattice="0.000 3.240 3.240 3.240 0.000 3.240 3.240 3.240 0.000" Properties=species:S:1:pos:R:3 comment="YGaCoTc | OQMD | PBE | optimized geometry" spacegroup="No. 216" energy_ev_per_cell=-26.08 pbc="T T T"
Co 4.860 4.860 4.860
Ga 0.000 0.000 0.000
Tc 3.240 3.240 3.240
Y 1.620 1.620 1.620



8
Lattice="3.612 0.000 0.000 0.000 3.612 0.000 0.000 0.000 11.054" Properties=species:S:1:pos:R:3 comment="AgBiPF | OQMD | PBE | optimized geometry" spacegroup="No. 129" energy_ev_per_cell=-31.80 pbc="T T T"
Ag 0.000 1.806 3.400
Ag 1.806 0.000 7.654
Bi 1.806 0.000 1.786
Bi 0.000 1.806 9.268
F 0.000 0.000 0.000
F 1.806 1.806 0.000
P 1.806 0.000 5.120
P 0.000 1.806 5.934



8
Lattice="4.747 0.000 0.000 0.000 4.747 0.000 0.000 0.000 6.918" Properties=species:S:1:pos:R:3 comment="Mg2Sc2TlCuAg2 | OQMD | PBE | optimized geometry" spacegroup="No. 115" energy_ev_per_cell=-29.43 pbc="T T T"
Ag 0.000 0.000 0.000
Ag 2.373 2.373 3.459
Cu 0.000 0.000 3.459
Mg 0.000 2.373 1.854
Mg 2.373 0.000 5.064
Sc 2.373 0.000 1.859
Sc 0.000 2.373 5.059
Tl 2.373 2.373 0.000



8
Lattice="5.251 0.000 0.000 0.000 5.251 0.000 0.000 0.000 5.251" Properties=species:S:1:pos:R:3 comment="Nb6SbPt | OQMD | PBE | optimized geometry" spacegroup="No. 200" energy_ev_per_cell=-72.92 pbc="T T T"
Nb 2.625 1.294 0.000
Nb 2.625 3.957 0.000
Nb 0.000 2.625 1.294
Nb 1.294 0.000 2.625
Nb 3.957 0.000 2.625
Nb 0.000 2.625 3.957
Pt 0.000 0.000 0.000
Sb 2.625 2.625 2.625



4
Lattice="0.000 3.118 3.118 3.118 0.000 3.118 3.118 3.118 0.000" Properties=species:S:1:pos:R:3 comment="ScZnReNi | OQMD | PBE | optimized geometry" spacegroup="No. 216" formation_energy_mev_per_atom=232 pbc="T T T"
Ni 4.677 4.677 4.677
Re 3.118 3.118 3.118
Sc 1.559 1.559 1.559
Zn 0.000 0.000 0.000



6
Lattice="4.196 0.000 0.000 0.000 4.196 0.000 0.000 0.000 8.116" Properties=species:S:1:pos:R:3 comment="YErNb2Sn2 | OQMD | PBE | optimized geometry" spacegroup="No. 99" energy_ev_per_cell=-41.90 pbc="T T T"
Er 0.000 0.000 2.824
Nb 2.098 0.000 0.006
Nb 0.000 2.098 0.006
Sn 2.098 2.098 2.067
Sn 0.000 0.000 6.060
Y 2.098 2.098 5.268



9
Lattice="-0.903 7.942 -1.303 -1.407 -5.271 -5.985 -3.453 -0.227 1.012" Properties=species:S:1:pos:R:3 comment="Ho3Hf3CoTe2 | OQMD | PBE | optimized geometry" spacegroup="No. 189" energy_ev_per_cell=-60.28 pbc="T T T"
Co 0.000 0.000 0.000
Hf -0.363 3.195 -0.524
Hf -0.566 -2.121 -2.408
Hf -1.381 1.596 -4.356
Ho -2.409 5.887 -0.479
Ho -2.291 0.539 -1.275
Ho -2.790 -4.096 -4.016
Te -2.798 3.424 -2.358
Te -2.966 -0.980 -3.918



4
Lattice="-1.075 3.213 3.102 -1.475 4.124 -1.383 -4.388 1.202 0.636" Properties=species:S:1:pos:R:3 comment="Re2AgSb | OQMD | PBE | optimized geometry" spacegroup="No. 216" energy_ev_per_cell=-28.43 pbc="T T T"
Ag -1.734 2.135 0.589
Re 0.000 0.000 0.000
Re -5.203 6.405 1.766
Sb -3.469 4.270 1.178



4
Lattice="-1.356 -0.543 -2.835 0.506 -3.128 0.357 -6.567 -0.689 3.274" Properties=species:S:1:pos:R:3 comment="MgZrAu2 | OQMD | PBE | optimized geometry" spacegroup="No. 123" energy_ev_per_cell=-18.89 pbc="T T T"
Au -2.171 -2.019 -0.368
Au -5.246 -2.341 1.165
Mg -3.284 -0.345 1.637
Zr 0.000 0.000 0.000



3
Lattice="-4.749 -0.888 -0.165 -2.999 3.245 -1.960 -2.139 -0.933 -4.233" Properties=species:S:1:pos:R:3 comment="PuInSi | OQMD | PBE | optimized geometry" spacegroup="No. 216" energy_ev_per_cell=-21.62 pbc="T T T"
In 0.000 0.000 0.000
Pu -2.472 0.356 -1.589
Si -4.943 0.712 -3.179



2
Lattice="3.244 0.000 0.000 -1.622 2.809 0.000 0.000 0.000 3.776" Properties=species:S:1:pos:R:3 comment="FeSn | OQMD | PBE | optimized geometry" spacegroup="No. 187" energy_ev_per_cell=-11.75 pbc="T T T"
Fe 1.622 0.936 2.832
Sn 0.000 1.873 0.944



12
Lattice="-8.114 3.319 -2.155 -1.418 -1.139 3.586 5.198 6.962 4.268" Properties=species:S:1:pos:R:3 comment="KYCoSe3 | OQMD | PBE | optimized geometry" spacegroup="No. 11" energy_ev_per_cell=-64.38 pbc="T T T"
Co -6.430 5.071 2.449
Co 2.096 4.071 3.249
K -0.816 2.064 1.460
K -3.518 7.078 4.238
Se -7.568 3.212 1.408
Se -3.932 1.824 2.405
Se -4.499 5.638 1.138
Se 0.165 3.504 4.560
Se -0.402 7.318 3.293
Se 3.234 5.930 4.290
Y -5.087 2.944 0.050
Y 0.753 6.198 5.648



24
Lattice="0.685 5.028 -2.957 -4.528 3.692 -0.604 5.092 3.650 13.352" Properties=species:S:1:pos:R:3 comment="Lu2Zr4Au3C3 | OQMD | PBE | optimized geometry" spacegroup="No. 15" energy_ev_per_cell=-176.91 pbc="T T T"
Au -2.070 6.899 1.097
Au 1.940 5.936 0.389
Au -0.483 3.324 2.584
Au 1.731 9.046 7.206
Au -0.691 6.434 9.402
Au 3.319 5.471 8.694
C 0.342 2.514 -1.479
C -2.931 3.271 -0.868
C -1.046 6.587 5.192
C 0.282 3.671 6.374
C 2.294 5.783 4.598
C 4.180 9.099 10.659
Lu -0.780 4.476 -0.374
Lu 0.328 6.286 3.107
Lu 0.921 6.084 6.684
Lu 2.028 7.894 10.165
Zr 0.472 1.402 0.510
Zr -2.126 7.166 -1.824
Zr 1.671 3.595 4.558
Zr -0.822 9.386 2.177
Zr 2.071 2.984 7.614
Zr -0.422 8.775 5.232
Zr 3.375 5.204 11.615
Zr 0.777 10.968 9.281



9
Lattice="3.208 0.000 0.000 -1.604 2.778 0.000 0.000 0.000 14.733" Properties=species:S:1:pos:R:3 comment="YFeN | OQMD | PBE | optimized geometry" spacegroup="No. 156" energy_ev_per_cell=-72.47 pbc="T T T"
Fe 1.604 0.926 1.400
Fe 0.000 1.852 8.925
Fe 1.604 0.926 13.823
N 0.000 0.000 5.177
N 0.000 0.000 8.312
N 0.000 0.000 13.214
Y 0.000 1.852 3.796
Y 1.604 0.926 6.705
Y 0.000 1.852 11.667



2
Lattice="3.069 0.000 0.000 -1.534 2.658 0.000 0.000 0.000 4.607" Properties=species:S:1:pos:R:3 comment="HfMo | OQMD | PBE | optimized geometry" spacegroup="No. 187" formation_energy_mev_per_atom=359 pbc="T T T"
Hf 1.534 0.886 3.456
Mo 0.000 1.772 1.152



24
Lattice="1.613 4.949 -1.528 -1.793 2.095 -4.672 -9.448 2.538 7.933" Properties=species:S:1:pos:R:3 comment="Nb4Mo2P3N3 | OQMD | PBE | optimized geometry" spacegroup="No. 15" energy_ev_per_cell=-221.74 pbc="T T T"
Mo -0.736 3.679 -1.819
Mo -3.645 5.072 0.068
Mo -5.982 4.510 1.664
Mo -8.892 5.903 3.552
N 0.807 2.474 -0.764
N -0.985 2.144 -3.382
N -5.728 4.653 -0.521
N -5.620 2.316 1.630
N -3.900 4.929 2.254
N -8.643 7.438 5.115
Nb -0.904 6.000 -3.724
Nb -0.739 1.395 0.416
Nb -3.528 7.452 -2.061
Nb -3.462 2.763 1.987
Nb -6.165 6.819 -0.254
Nb -6.100 2.130 3.794
Nb -8.888 8.187 1.317
Nb -8.724 3.582 5.457
P -2.652 2.873 -0.400
P -1.118 5.274 0.114
P -2.733 5.037 -2.277
P -6.895 4.545 4.010
P -8.509 4.308 1.619
P -6.976 6.709 2.133



8
Lattice="3.342 0.000 0.000 -1.671 2.894 0.000 0.000 0.000 13.401" Properties=species:S:1:pos:R:3 comment="Hf4ZnAsC2 | OQMD | PBE | optimized geometry" spacegroup="No. 187" energy_ev_per_cell=-70.18 pbc="T T T"
As 1.671 0.965 6.701
C 0.000 1.929 3.485
C 0.000 1.929 9.916
Hf 1.671 0.965 2.248
Hf 0.000 0.000 4.734
Hf 0.000 0.000 8.667
Hf 1.671 0.965 11.153
Zn 0.000 0.000 0.000



4
Lattice="3.324 0.000 0.000 0.000 3.324 0.000 0.000 0.000 6.635" Properties=species:S:1:pos:R:3 comment="Zr2TcPd | OQMD | PBE | optimized geometry" spacegroup="No. 123" formation_energy_mev_per_atom=-579 pbc="T T T"
Pd 1.662 1.662 3.317
Tc 1.662 1.662 0.000
Zr 0.000 0.000 1.583
Zr 0.000 0.000 5.052